# NpPaN2 | Alexandria | PBE-GGA | optimized geometry
data_NpPaN2
_chemical_formula_sum 'Np3 Pa3 N6'
_cell_length_a 3.3922
_cell_length_b 3.3922
_cell_length_c 18.1550
_cell_angle_alpha 90.00
_cell_angle_beta 90.00
_cell_angle_gamma 120.00
_space_group_name_H-M_alt 'R 3 m'
_space_group_IT_number 160
_space_group_name_Hall 'R 3 -2"'
loop_
_atom_site_label
_atom_site_fract_x
_atom_site_fract_y
_atom_site_fract_z
Np1 0.0000 0.0000 0.0000
Pa1 0.0000 0.0000 0.8262
N1 0.0000 0.0000 0.2420
N2 0.0000 0.0000 0.4127
# * total energy: -130.77 eV per cell
# * volume: 181 Å³ per cell
# * N(E_F): 17.13 states/eV/cell
# * uncorrected formation energy: -1.126 eV per atom
# * calculated density: 13.7 Mg/m³
# * crystal system: trigonal